(1)
! YTmGe2Pt4 PBE optimized geometry; values from VASP
&SYSTEM
  ibrav = 0, nat = 8, ntyp = 4
/
ATOMIC_SPECIES
Ge 72.64 Ge.upf
Pt 195.08 Pt.upf
Tm 168.93 Tm.upf
Y 88.91 Y.upf
CELL_PARAMETERS angstrom
-2.304 -6.391 2.446
4.547 -2.415 -2.027
5.144 -1.234 1.623
ATOMIC_POSITIONS angstrom
Ge 1.437 -4.170 1.115
Ge 7.109 -2.676 -0.296
Pt 0.850 -1.756 0.430
Pt -0.543 -5.618 1.908
Pt 7.688 -5.066 0.383
Pt 6.763 -7.632 1.365
Tm 4.374 -1.647 -0.182
Y 4.177 -5.202 1.001
! calculated total energy	-6.59	eV/atom
! space-group type	Amm2, No. 38

(2)
! GePt2W PBE optimized geometry; values from VASP
&SYSTEM
  ibrav = 0, nat = 4, ntyp = 3
/
ATOMIC_SPECIES
Ge 72.64 Ge.upf
Pt 195.08 Pt.upf
W 183.84 W.upf
CELL_PARAMETERS angstrom
-0.549 1.565 4.148
-3.963 1.626 1.268
-2.509 -2.259 2.926
ATOMIC_POSITIONS angstrom
Ge -3.510 0.465 4.171
Pt 0.000 0.000 0.000
Pt -5.266 0.698 6.256
W -1.755 0.233 2.085
! calculated total energy	-7.36	eV/atom
! space-group type	F-43m, No. 216

(3)
! Y3GePt4 PBE optimized geometry; values from VASP
&SYSTEM
  ibrav = 0, nat = 8, ntyp = 3
/
ATOMIC_SPECIES
Ge 72.64 Ge.upf
Pt 195.08 Pt.upf
Y 88.91 Y.upf
CELL_PARAMETERS angstrom
-4.967 -0.038 -2.691
1.308 -3.292 -2.367
-2.471 -4.414 4.773
ATOMIC_POSITIONS angstrom
Ge -2.274 -2.933 2.822
Pt -4.304 -0.213 -2.081
Pt -2.225 -3.809 0.235
Pt -4.756 -2.464 0.799
Pt -2.336 -5.698 2.800
Y -2.259 -0.852 -0.064
Y -4.461 -3.106 -1.979
Y -4.523 -5.316 1.060
! calculated total energy	-7.05	eV/atom
! space-group type	Pm, No. 6

(4)
! YGe2Pt PBE optimized geometry; values from VASP
&SYSTEM
  ibrav = 0, nat = 4, ntyp = 3
/
ATOMIC_SPECIES
Ge 72.64 Ge.upf
Pt 195.08 Pt.upf
Y 88.91 Y.upf
CELL_PARAMETERS angstrom
0.000 3.396 3.396
3.396 0.000 3.396
3.396 3.396 0.000
ATOMIC_POSITIONS angstrom
Ge 0.000 0.000 0.000
Ge 1.698 1.698 1.698
Pt 5.095 5.095 5.095
Y 3.396 3.396 3.396
! calculated total energy	-5.89	eV/atom
! space-group type	F-43m, No. 216

(5)
! YGe2Pt PBE optimized geometry; values from VASP
&SYSTEM
  ibrav = 0, nat = 16, ntyp = 3
/
ATOMIC_SPECIES
Ge 72.64 Ge.upf
Pt 195.08 Pt.upf
Y 88.91 Y.upf
CELL_PARAMETERS angstrom
-8.162 4.978 0.545
-1.008 7.728 -5.564
0.877 -9.409 1.549
ATOMIC_POSITIONS angstrom
Ge -3.908 5.415 -2.139
Ge -5.262 7.291 -2.880
Ge -4.381 0.983 -0.268
Ge -1.731 3.641 -3.830
Ge -7.549 3.197 -1.091
Ge -0.745 0.100 -2.379
Ge -6.563 -0.344 0.359
Ge -3.912 2.314 -3.203
Pt -5.043 3.367 -1.245
Pt -7.759 7.130 -2.731
Pt -0.535 -3.833 -0.740
Pt -3.250 -0.070 -2.226
Y -1.850 2.563 -1.013
Y -7.320 10.143 -4.007
Y -1.744 -1.060 0.501
Y -5.542 -3.370 1.593
! calculated total energy	-6.31	eV/atom
! space-group type	Immm, No. 71

(6)
! YGePt PBE optimized geometry; values from VASP
&SYSTEM
  ibrav = 0, nat = 12, ntyp = 3
/
ATOMIC_SPECIES
Ge 72.64 Ge.upf
Pt 195.08 Pt.upf
Y 88.91 Y.upf
CELL_PARAMETERS angstrom
-0.673 6.037 -3.587
-3.543 1.011 2.366
4.435 3.540 5.128
ATOMIC_POSITIONS angstrom
Ge -2.723 5.252 -0.244
Ge -0.968 3.366 3.191
Ge 1.187 7.223 0.717
Ge 2.943 5.337 4.152
Pt -2.488 2.849 1.134
Pt -1.345 7.049 1.052
Pt 1.565 3.540 2.856
Pt 2.708 7.740 2.774
Y -0.655 7.001 -1.946
Y 0.094 4.312 0.325
Y 0.125 6.277 3.583
Y 0.875 3.588 5.854
! calculated total energy	-6.86	eV/atom
! space-group type	Pnma, No. 62

(7)
! YGe3Pt4 PBE optimized geometry; values from VASP
&SYSTEM
  ibrav = 0, nat = 8, ntyp = 3
/
ATOMIC_SPECIES
Ge 72.64 Ge.upf
Pt 195.08 Pt.upf
Y 88.91 Y.upf
CELL_PARAMETERS angstrom
5.452 0.000 0.000
0.000 4.020 0.000
-0.201 0.000 6.620
ATOMIC_POSITIONS angstrom
Ge 3.327 0.000 1.292
Ge 4.648 0.000 4.421
Ge 1.835 2.010 5.518
Pt 0.953 0.000 0.031
Pt 3.526 2.010 3.074
Pt 1.757 0.000 3.930
Pt 4.237 2.010 6.165
Y 0.722 2.010 2.049
! calculated total energy	-6.15	eV/atom
! space-group type	Pm, No. 6

(8)
! Y3Ge6Pt4 PBE optimized geometry; values from VASP
&SYSTEM
  ibrav = 0, nat = 26, ntyp = 3
/
ATOMIC_SPECIES
Ge 72.64 Ge.upf
Pt 195.08 Pt.upf
Y 88.91 Y.upf
CELL_PARAMETERS angstrom
8.800 0.000 -0.001
0.000 4.359 0.000
-2.189 0.000 13.159
ATOMIC_POSITIONS angstrom
Ge 5.473 1.090 0.016
Ge 7.675 3.269 0.069
Ge 1.104 3.269 3.653
Ge 5.504 3.269 3.735
Ge 4.210 1.090 5.681
Ge 6.804 1.090 5.688
Ge -0.193 3.269 7.470
Ge 2.400 3.269 7.477
Ge 1.106 1.090 9.424
Ge 5.506 1.090 9.505
Ge -1.064 1.090 13.090
Ge 1.137 3.269 13.142
Pt 1.126 3.269 1.195
Pt 5.476 3.269 1.314
Pt 7.721 3.269 4.932
Pt 3.286 3.269 4.937
Pt 3.324 1.090 8.221
Pt -1.110 1.090 8.227
Pt 1.135 1.090 11.844
Pt 5.485 1.090 11.964
Y 7.802 1.090 2.454
Y 3.206 1.090 2.463
Y 1.105 1.090 5.778
Y 5.506 3.269 7.380
Y 3.405 3.269 10.696
Y -1.192 3.269 10.704
! calculated total energy	-6.37	eV/atom
! space-group type	P2_1/m, No. 11